--- w ---
## Pr2S2O (PBE-GGA)

Data for Pr2S2O after structural relaxation.

Structure (CIF):
```
data_Pr2S2O
_chemical_formula_sum 'Pr8 S8 O4'
_cell_length_a 8.6472
_cell_length_b 7.2701
_cell_length_c 7.1445
_cell_angle_alpha 90.00
_cell_angle_beta 98.32
_cell_angle_gamma 90.00
_symmetry_space_group_name_H-M 'P 1 21/c 1'
_symmetry_Int_Tables_number 14
_symmetry_space_group_name_Hall '-P 2ybc'
loop_
_atom_site_label
_atom_site_type_symbol
_atom_site_fract_x
_atom_site_fract_y
_atom_site_fract_z
Pr1 Pr 0.0816 0.1340 0.3128
Pr2 Pr 0.3621 0.5561 0.2488
S1 S 0.1752 0.6464 0.5623
S2 S 0.4221 0.2251 0.4718
O1 O 0.1176 0.0883 0.6492
```


--- x ---
## Pr2S2O (PBE-GGA)

Data for Pr2S2O after structural relaxation.

Structure (CIF):
```
data_Pr2S2O
_chemical_formula_sum 'Pr4 S4 O2'
_cell_length_a 3.6623
_cell_length_b 6.8016
_cell_length_c 8.4314
_cell_angle_alpha 90.00
_cell_angle_beta 90.00
_cell_angle_gamma 90.00
_symmetry_space_group_name_H-M 'I m m m'
_symmetry_Int_Tables_number 71
_symmetry_space_group_name_Hall '-I 2 2'
loop_
_atom_site_label
_atom_site_type_symbol
_atom_site_fract_x
_atom_site_fract_y
_atom_site_fract_z
Pr1 Pr 0.0000 0.2386 0.0000
S1 S 0.0000 0.0000 0.3099
O1 O 0.0000 0.5000 0.5000
```


Which of them is the least stable? Correct choice: x.